(1)
Li2AsWN (SCAN, single point on PBEsol structure); DFT total energy = -0.732 Ha/atom; energy relative to the elements, uncorrected = 0.880 eV/atom; space-group type = P4/mmm, No. 123
1.0
5.163 0.000 0.000
0.000 5.163 0.000
0.000 0.000 3.747
Li As W N
2 1 1 1
direct
0.000 0.500 0.000 Li
0.500 0.000 0.000 Li
0.000 0.000 0.500 As
0.500 0.500 0.000 W
0.500 0.500 0.500 N

=====

(2)
TlZnCo2 (SCAN, single point on PBEsol structure); DFT total energy = -1.091 Ha/atom; energy relative to the elements = 1.72 eV per formula unit; space-group type = Amm2, No. 38; E above lowest polymorph = 0.000 eV/atom
1.0
3.970 0.000 0.000
0.000 1.446 5.056
0.000 -1.446 5.056
Tl Zn Co
1 1 2
direct
0.000 0.000 0.000 Tl
0.500 0.676 0.676 Zn
0.000 0.263 0.263 Co
0.500 0.376 0.376 Co

=====

(3)
ZrAsIr4 (SCAN, single point on PBEsol structure); DFT total energy = -2.059 Ha/atom; energy relative to the elements = -0.96 eV per formula unit; space-group type = F-43m, No. 216
1.0
0.000 3.662 3.662
3.662 0.000 3.662
3.662 3.662 0.000
Zr As Ir
1 1 4
direct
0.000 0.000 0.000 Zr
0.750 0.750 0.750 As
0.375 0.375 0.375 Ir
0.375 0.375 0.875 Ir
0.375 0.875 0.375 Ir
0.875 0.375 0.375 Ir

=====

(4)
TlAsIr2 (SCAN, single point on PBEsol structure); DFT total energy = -2.133 Ha/atom; energy relative to the elements = 2.61 eV per formula unit; space-group type = Fm-3m, No. 225; E above lowest polymorph = 0.348 eV/atom
1.0
0.000 3.207 3.207
3.207 0.000 3.207
3.207 3.207 0.000
Tl As Ir
1 1 2
direct
0.000 0.000 0.000 Tl
0.500 0.500 0.500 As
0.250 0.250 0.250 Ir
0.750 0.750 0.750 Ir

=====

(5)
Os2BrCl (SCAN, single point on PBEsol structure); DFT total energy = -1.498 Ha/atom; energy relative to the elements, uncorrected = 2.046 eV/atom; space-group type = Fm-3m, No. 225; E above lowest polymorph = 1.150 eV/atom
1.0
0.000 3.108 3.108
3.108 0.000 3.108
3.108 3.108 0.000
Os Br Cl
2 1 1
direct
0.250 0.250 0.250 Os
0.750 0.750 0.750 Os
0.000 0.000 0.000 Br
0.500 0.500 0.500 Cl

=====

(6)
Rb2SnSO (SCAN, single point on PBEsol structure); DFT total energy = -0.695 Ha/atom; energy relative to the elements, uncorrected = -0.260 eV/atom; space-group type = P4/mmm, No. 123
1.0
6.738 0.000 0.000
0.000 6.738 0.000
0.000 0.000 3.526
Rb Sn S O
2 1 1 1
direct
0.000 0.500 0.000 Rb
0.500 0.000 0.000 Rb
0.000 0.000 0.500 Sn
0.500 0.500 0.000 S
0.500 0.500 0.500 O